WC4Br2O4 | PBE with a Hubbard U | relaxed

- total energy (eV/atom) = -6.66
- total magnetic moment (μB per atom) = 0.008

Cell lengths 9.022, 9.022, 9.820 Å; angles 120.12, 120.12, 64.81 degrees
Sites, in units of the cell vectors:
W (0.078, 0.078, 0.259)
W (0.922, 0.922, 0.741)
C (0.100, 0.752, 0.624)
C (0.207, 0.207, 0.239)
C (0.220, 0.220, 0.497)
C (0.248, 0.900, 0.376)
C (0.752, 0.100, 0.624)
C (0.780, 0.780, 0.503)
C (0.793, 0.793, 0.761)
C (0.900, 0.248, 0.376)
Br (0.119, 0.119, 0.806)
Br (0.188, 0.812, 0.000)
Br (0.812, 0.188, 0.000)
Br (0.881, 0.881, 0.194)
O (0.204, 0.655, 0.564)
O (0.282, 0.282, 0.238)
O (0.300, 0.300, 0.634)
O (0.345, 0.796, 0.436)
O (0.655, 0.204, 0.564)
O (0.700, 0.700, 0.366)
O (0.718, 0.718, 0.762)
O (0.796, 0.345, 0.436)